Record 1
Computed, not measured: a geometry-optimized La2PmDy2Ho2 structure at the PBE level of DFT.

Cell: 6.2550 6.2550 8.1066 Å, 97.43 97.43 48.14°
Last column: nearest neighbours and their distance in Å.
Atoms (fractional coordinates):
La  0.1419  0.1419  0.4265  5 Ho 3.60-3.65, 1 Pm 3.60, 3 La 3.61-3.63, 3 Dy 3.64-3.67
La  0.8581  0.8581  0.5735  5 Ho 3.60-3.65, 1 Pm 3.60, 3 La 3.61-3.63, 3 Dy 3.64-3.67
Pm  0.0000  0.0000  0.0000  6 Dy 3.58-3.62, 4 Ho 3.59, 2 La 3.60
Dy  0.2841  0.2841  0.8613  2 Dy 3.56, 4 Ho 3.57-3.63, 3 Pm 3.58-3.62, 3 La 3.64-3.67
Dy  0.7159  0.7159  0.1387  2 Dy 3.56, 4 Ho 3.57-3.63, 3 Pm 3.58-3.62, 3 La 3.64-3.67
Ho  0.4290  0.4290  0.2815  4 Dy 3.57-3.63, 2 Pm 3.59, 5 La 3.60-3.65, 1 Ho 3.68
Ho  0.5710  0.5710  0.7185  4 Dy 3.57-3.63, 2 Pm 3.59, 5 La 3.60-3.65, 1 Ho 3.68

The formation energy is 29.2 meV per atom. The total moment is 0.00 μB/f.u.


Record 2
Computed, not measured: a geometry-optimized La2Pm4DyHo2 structure at the PBE level of DFT.

Cell: 9.6734 9.6734 9.7268 Å, 115.22 115.22 21.87°
Last column: nearest neighbours and their distance in Å.
Atoms (fractional coordinates):
La  0.1656  0.1656  0.4980  3 Pm 3.60-3.62, 3 Ho 3.61-3.64, 2 Dy 3.65, 4 La 3.67-3.68
La  0.8344  0.8344  0.5020  3 Pm 3.60-3.62, 3 Ho 3.61-3.64, 2 Dy 3.65, 4 La 3.67-3.68
Pm  0.0189  0.0189  0.8358  5 Pm 3.56-3.67, 4 Ho 3.58-3.65, 1 La 3.60, 2 Dy 3.63
Pm  0.3140  0.3140  0.1653  6 Pm 3.58-3.67, 3 Ho 3.59-3.65, 1 Dy 3.62, 2 La 3.62
Pm  0.6860  0.6860  0.8347  6 Pm 3.58-3.67, 3 Ho 3.59-3.65, 1 Dy 3.62, 2 La 3.62
Pm  0.9811  0.9811  0.1642  5 Pm 3.56-3.67, 4 Ho 3.58-3.65, 1 La 3.60, 2 Dy 3.63
Dy  0.5000  0.5000  0.5000  6 Pm 3.62-3.63, 4 La 3.65, 2 Dy 3.67
Ho  0.3525  0.3525  0.8351  7 Pm 3.58-3.65, 3 La 3.61-3.64, 2 Ho 3.67
Ho  0.6475  0.6475  0.1649  7 Pm 3.58-3.65, 3 La 3.61-3.64, 2 Ho 3.67

The formation energy is 5.5 meV per atom. The total moment is 0.00 μB/f.u.


Copy entry 1 word for word.
Computed, not measured: a geometry-optimized La2PmDy2Ho2 structure at the PBE level of DFT.

Cell: 6.2550 6.2550 8.1066 Å, 97.43 97.43 48.14°
Last column: nearest neighbours and their distance in Å.
Atoms (fractional coordinates):
La  0.1419  0.1419  0.4265  5 Ho 3.60-3.65, 1 Pm 3.60, 3 La 3.61-3.63, 3 Dy 3.64-3.67
La  0.8581  0.8581  0.5735  5 Ho 3.60-3.65, 1 Pm 3.60, 3 La 3.61-3.63, 3 Dy 3.64-3.67
Pm  0.0000  0.0000  0.0000  6 Dy 3.58-3.62, 4 Ho 3.59, 2 La 3.60
Dy  0.2841  0.2841  0.8613  2 Dy 3.56, 4 Ho 3.57-3.63, 3 Pm 3.58-3.62, 3 La 3.64-3.67
Dy  0.7159  0.7159  0.1387  2 Dy 3.56, 4 Ho 3.57-3.63, 3 Pm 3.58-3.62, 3 La 3.64-3.67
Ho  0.4290  0.4290  0.2815  4 Dy 3.57-3.63, 2 Pm 3.59, 5 La 3.60-3.65, 1 Ho 3.68
Ho  0.5710  0.5710  0.7185  4 Dy 3.57-3.63, 2 Pm 3.59, 5 La 3.60-3.65, 1 Ho 3.68

The formation energy is 29.2 meV per atom. The total moment is 0.00 μB/f.u.